1.
! PBE with a Hubbard U TeMoBrO2, optimized geometry; values from VASP
! Total energy = -4.46 eV/atom
&SYSTEM
  ibrav = 0, nat = 5, ntyp = 4
/
ATOMIC_SPECIES
Te 127.60 Te.upf
O 16.00 O.upf
Br 79.90 Br.upf
Mo 95.94 Mo.upf
CELL_PARAMETERS angstrom
4.0910 0.0000 0.0000
0.0000 7.1614 0.0000
0.0000 0.0000 4.0910
ATOMIC_POSITIONS crystal
Te 0.0000 0.0000 0.0000
O 0.5000 0.0000 0.0000
Br 0.0000 0.5000 0.0000
O 0.0000 0.0000 0.5000
Mo 0.5000 0.5000 0.5000

2.
! PBE with a Hubbard U Tl2MoBr4O2, optimized geometry; values from VASP
! Total energy = -3.90 eV/atom
&SYSTEM
  ibrav = 0, nat = 9, ntyp = 4
/
ATOMIC_SPECIES
Tl 204.38 Tl.upf
Br 79.90 Br.upf
Mo 95.94 Mo.upf
O 16.00 O.upf
CELL_PARAMETERS angstrom
-5.9329 -1.6338 3.9897
-0.1471 -5.6845 4.5489
-0.3431 1.3659 7.1446
ATOMIC_POSITIONS crystal
Tl 0.8222 0.2647 0.2647
Br 0.7010 0.2842 0.7967
Br 0.2990 0.7158 0.2033
Br 0.2990 0.2033 0.7158
Mo 0.5000 0.0000 0.0000
Br 0.7010 0.7967 0.2842
O 0.7507 0.8205 0.8205
Tl 0.1778 0.7353 0.7353
O 0.2493 0.1795 0.1795

3.
! PBE with a Hubbard U YMoBrO2, optimized geometry; values from VASP
! Total energy = -6.00 eV/atom
&SYSTEM
  ibrav = 0, nat = 5, ntyp = 4
/
ATOMIC_SPECIES
Br 79.90 Br.upf
O 16.00 O.upf
Y 88.91 Y.upf
Mo 95.94 Mo.upf
CELL_PARAMETERS angstrom
-4.1633 0.2439 -0.0939
-0.2526 -4.9116 -1.5596
-0.1631 -1.2539 3.9752
ATOMIC_POSITIONS crystal
Br 0.0000 0.5000 0.0000
O 0.0000 0.0000 0.5000
Y 0.5000 0.5000 0.5000
O 0.5000 0.0000 0.0000
Mo 0.0000 0.0000 0.0000

Which of these has the highest total energy? Tl2MoBr4O2

Which of these has the highest total energy? Tl2MoBr4O2

What is the total energy in the second record? -3.90 eV/atom

The lowest total energy belongs to which entry? YMoBrO2